[1]
PmNd8Er3 PBE optimized geometry; VASP energy = -4.65 eV/atom; spin magnetization = 0.00 μB/f.u.
1.0
-0.559 -5.539 -2.665
7.131 -2.361 -4.765
6.906 4.222 8.911
Nd Pm Er
8 1 3
direct
0.146 0.133 0.123
0.049 0.124 0.787
0.166 0.151 0.451
0.842 0.852 0.547
0.364 0.384 0.033
0.843 0.863 0.872
0.950 0.872 0.214
0.643 0.609 0.972
0.543 0.604 0.625
0.457 0.384 0.373
0.285 0.377 0.708
0.710 0.617 0.291


[2]
PmNd2Er2 PBE optimized geometry; spin magnetization = 0.00 μB/f.u.; distance to the lowest polymorph of the same formula = 1.30 eV per formula unit
1.0
-1.636 8.066 3.703
-6.604 -4.471 4.226
5.638 -2.215 0.456
Nd Pm Er
4 2 4
direct
0.760 0.608 0.488
0.392 0.240 0.012
0.608 0.760 0.988
0.240 0.392 0.512
0.067 0.933 0.250
0.933 0.067 0.750
0.199 0.801 0.750
0.331 0.669 0.250
0.669 0.331 0.750
0.801 0.199 0.250


[3]
Pm8Nd3Er2 PBE optimized geometry; spin magnetization = 0.00 μB/f.u.; distance to the lowest polymorph of the same formula = 0.00 eV per formula unit
1.0
6.074 0.296 1.323
1.955 8.529 1.496
0.812 -0.714 8.811
Nd Er Pm
3 2 8
direct
0.500 0.000 0.000
0.000 0.757 0.243
0.000 0.243 0.757
0.643 0.712 0.712
0.357 0.288 0.288
0.050 0.845 0.845
0.215 0.555 0.555
0.326 0.430 0.917
0.674 0.083 0.570
0.326 0.917 0.430
0.950 0.155 0.155
0.785 0.445 0.445
0.674 0.570 0.083


[4]
Pm3Nd6Er PBE optimized geometry; spin magnetization = 0.00 μB/f.u.; distance to the lowest polymorph of the same formula = 0.74 eV per formula unit
1.0
-1.922 -6.722 -0.577
8.540 -2.258 -2.138
-4.874 4.421 7.368
Pm Nd Er
3 6 1
direct
0.421 0.015 0.842
0.000 0.000 0.000
0.579 0.985 0.158
0.078 0.426 0.629
0.449 0.574 0.371
0.125 0.830 0.250
0.875 0.170 0.750
0.922 0.574 0.371
0.551 0.426 0.629
0.500 0.500 0.000